{
  "formula": "V4TcRu5",
  "functional": "GGA-PBE",
  "state": "optimized geometry",
  "cell": [[2.9682, 0.0000, 0.0000], [0.0000, 2.9682, 0.0000], [0.0000, 0.0000, 15.7024]],
  "species": ["V", "V", "V", "V", "Tc", "Ru", "Ru", "Ru", "Ru", "Ru"],
  "fractional_positions": [[0.0000, 0.0000, 0.0984], [0.0000, 0.0000, 0.2958], [0.0000, 0.0000, 0.7042], [0.0000, 0.0000, 0.9016], [0.0000, 0.0000, 0.5000], [0.5000, 0.5000, 0.0000], [0.5000, 0.5000, 0.1934], [0.5000, 0.5000, 0.3832], [0.5000, 0.5000, 0.6168], [0.5000, 0.5000, 0.8066]],
  "mass_density_g_cm3": 9.69,
  "total_magnetization_mub_per_cell": 0.1,
  "dft_energy_ev_per_cell": -94.5
}

---

{
  "formula": "V2TcRu",
  "functional": "GGA-PBE",
  "state": "optimized geometry",
  "cell": [[6.7448, 0.0000, 0.0000], [0.0000, 6.7448, 0.0000], [0.0000, 0.0000, 5.2140]],
  "species": ["V", "V", "V", "V", "V", "V", "V", "V", "Tc", "Tc", "Tc", "Tc", "Ru", "Ru", "Ru", "Ru"],
  "fractional_positions": [[0.2465, 0.2500, 0.1250], [0.2500, 0.7465, 0.3750], [0.2500, 0.7535, 0.8750], [0.2535, 0.2500, 0.6250], [0.7465, 0.7500, 0.6250], [0.7500, 0.2465, 0.8750], [0.7500, 0.2535, 0.3750], [0.7535, 0.7500, 0.1250], [0.0000, 0.0000, 0.5000], [0.0000, 0.5000, 0.7500], [0.5000, 0.0000, 0.2500], [0.5000, 0.5000, 0.0000], [0.0000, 0.0000, 0.0000], [0.0000, 0.5000, 0.2500], [0.5000, 0.0000, 0.7500], [0.5000, 0.5000, 0.5000]],
  "mass_density_g_cm3": 8.43,
  "polymorph_energy_mev_per_atom": 752.8,
  "total_magnetization_mub_per_cell": 0.0,
  "dft_energy_ev_per_cell": -144.7
}

---

{
  "formula": "V2TcRu2",
  "functional": "GGA-PBE",
  "state": "optimized geometry",
  "cell": [[7.0689, 0.0000, 0.0000], [0.0000, 7.0689, 0.0000], [0.0000, 0.0000, 2.8363]],
  "species": ["V", "V", "V", "V", "Tc", "Tc", "Ru", "Ru", "Ru", "Ru"],
  "fractional_positions": [[0.1521, 0.3479, 0.0000], [0.3479, 0.8479, 0.0000], [0.6521, 0.1521, 0.0000], [0.8479, 0.6521, 0.0000], [0.0000, 0.0000, 0.0000], [0.5000, 0.5000, 0.0000], [0.1496, 0.6496, 0.5000], [0.3504, 0.1496, 0.5000], [0.6496, 0.8504, 0.5000], [0.8504, 0.3504, 0.5000]],
  "mass_density_g_cm3": 9.42,
  "polymorph_energy_mev_per_atom": 0.0,
  "total_magnetization_mub_per_cell": 0.0,
  "dft_energy_ev_per_cell": -94.6
}

---

{
  "formula": "VTcRu2",
  "functional": "GGA-PBE",
  "state": "optimized geometry",
  "cell": [[4.0754, 0.0000, 0.0000], [-2.0377, 3.5294, 0.0000], [0.0000, 0.0000, 13.1449]],
  "species": ["V", "V", "V", "Tc", "Tc", "Tc", "Ru", "Ru", "Ru", "Ru", "Ru", "Ru"],
  "fractional_positions": [[0.0000, 0.0000, 0.0000], [0.3333, 0.6667, 0.6667], [0.6667, 0.3333, 0.3333], [0.0000, 0.0000, 0.1869], [0.3333, 0.6667, 0.8536], [0.6667, 0.3333, 0.5203], [0.0000, 0.0000, 0.3924], [0.0000, 0.0000, 0.5915], [0.3333, 0.6667, 0.0591], [0.3333, 0.6667, 0.2582], [0.6667, 0.3333, 0.7258], [0.6667, 0.3333, 0.9248]],
  "mass_density_g_cm3": 9.25,
  "polymorph_energy_mev_per_atom": 353.6,
  "total_magnetization_mub_per_cell": 0.0,
  "dft_energy_ev_per_cell": -110.5
}

---

{
  "formula": "VTc2Ru5",
  "functional": "GGA-PBE",
  "state": "optimized geometry",
  "cell": [[5.4283, 0.0000, 0.0000], [0.0000, 5.4283, 0.0000], [0.0000, 0.0000, 7.6316]],
  "species": ["V", "V", "Tc", "Tc", "Tc", "Tc", "Ru", "Ru", "Ru", "Ru", "Ru", "Ru", "Ru", "Ru", "Ru", "Ru"],
  "fractional_positions": [[0.0000, 0.0000, 0.0000], [0.5000, 0.5000, 0.5000], [0.0000, 0.5000, 0.0000], [0.0000, 0.5000, 0.5000], [0.5000, 0.0000, 0.0000], [0.5000, 0.0000, 0.5000], [0.0000, 0.0000, 0.5000], [0.2500, 0.2500, 0.2500], [0.2500, 0.2500, 0.7500], [0.2500, 0.7500, 0.2500], [0.2500, 0.7500, 0.7500], [0.5000, 0.5000, 0.0000], [0.7500, 0.2500, 0.2500], [0.7500, 0.2500, 0.7500], [0.7500, 0.7500, 0.2500], [0.7500, 0.7500, 0.7500]],
  "mass_density_g_cm3": 11.11,
  "total_magnetization_mub_per_cell": 0.0,
  "dft_energy_ev_per_cell": -152.5
}

---

{
  "formula": "VTcRu",
  "functional": "GGA-PBE",
  "state": "optimized geometry",
  "cell": [[3.0171, 0.0000, 0.0000], [0.0000, 3.0171, 0.0000], [0.0000, 0.0000, 9.2594]],
  "species": ["V", "V", "Tc", "Tc", "Ru", "Ru"],
  "fractional_positions": [[0.0000, 0.0000, 0.0000], [0.5000, 0.5000, 0.5000], [0.0000, 0.0000, 0.6515], [0.5000, 0.5000, 0.1515], [0.0000, 0.0000, 0.3418], [0.5000, 0.5000, 0.8418]],
  "mass_density_g_cm3": 9.85,
  "polymorph_energy_mev_per_atom": 0.0,
  "total_magnetization_mub_per_cell": 0.0,
  "dft_energy_ev_per_cell": -58.0
}

---

{
  "formula": "V2TcRu2",
  "functional": "GGA-PBE",
  "state": "optimized geometry",
  "cell": [[7.1324, 0.0000, 0.0000], [0.0000, 7.1324, 0.0000], [0.0000, 0.0000, 2.8096]],
  "species": ["V", "V", "V", "V", "Tc", "Tc", "Ru", "Ru", "Ru", "Ru"],
  "fractional_positions": [[0.1657, 0.3343, 0.0000], [0.3343, 0.8343, 0.0000], [0.6657, 0.1657, 0.0000], [0.8343, 0.6657, 0.0000], [0.0000, 0.0000, 0.5000], [0.5000, 0.5000, 0.5000], [0.1356, 0.6356, 0.5000], [0.3644, 0.1356, 0.5000], [0.6356, 0.8644, 0.5000], [0.8644, 0.3644, 0.5000]],
  "mass_density_g_cm3": 9.34,
  "polymorph_energy_mev_per_atom": 73.2,
  "total_magnetization_mub_per_cell": 0.0,
  "dft_energy_ev_per_cell": -93.9
}

---

{
  "formula": "V3TcRu",
  "functional": "GGA-PBE",
  "state": "optimized geometry",
  "cell": [[4.4971, 0.0000, 0.0000], [0.0000, 4.4971, 0.0000], [0.0000, 0.0000, 4.4971]],
  "species": ["V", "V", "V", "Tc", "Ru"],
  "fractional_positions": [[0.0000, 0.0000, 0.5000], [0.0000, 0.5000, 0.0000], [0.5000, 0.0000, 0.0000], [0.5000, 0.5000, 0.5000], [0.0000, 0.0000, 0.0000]],
  "mass_density_g_cm3": 6.42,
  "polymorph_energy_mev_per_atom": 1293.1,
  "total_magnetization_mub_per_cell": 1.7,
  "dft_energy_ev_per_cell": -40.7
}

---

{
  "formula": "V6Tc5Ru",
  "functional": "GGA-PBE",
  "state": "optimized geometry",
  "cell": [[-2.1404, 3.0267, 6.3948], [2.1404, -3.0267, 6.3948], [2.1404, 3.0267, -6.3948]],
  "species": ["V", "V", "V", "V", "V", "V", "Tc", "Tc", "Tc", "Tc", "Tc", "Ru"],
  "fractional_positions": [[0.0810, 0.3324, 0.7487], [0.2473, 0.0000, 0.2473], [0.4163, 0.6676, 0.7487], [0.5837, 0.3324, 0.2513], [0.7527, 0.0000, 0.7527], [0.9190, 0.6676, 0.2513], [0.0000, 0.5000, 0.5000], [0.1670, 0.1670, 0.0000], [0.3346, 0.8346, 0.5000], [0.6654, 0.1654, 0.5000], [0.8330, 0.8330, 0.0000], [0.5000, 0.5000, 0.0000]],
  "mass_density_g_cm3": 8.99,
  "total_magnetization_mub_per_cell": 0.0,
  "dft_energy_ev_per_cell": -120.1
}

---

{
  "formula": "V4Tc3Ru",
  "functional": "GGA-PBE",
  "state": "optimized geometry",
  "cell": [[3.0254, 0.0000, 0.0000], [0.0000, 4.2722, 0.0000], [0.0000, 0.0000, 8.5391]],
  "species": ["V", "V", "V", "V", "Tc", "Tc", "Tc", "Ru"],
  "fractional_positions": [[0.0000, 0.0000, 0.0000], [0.0000, 0.0000, 0.5000], [0.0000, 0.5000, 0.2466], [0.0000, 0.5000, 0.7534], [0.5000, 0.0000, 0.2525], [0.5000, 0.0000, 0.7475], [0.5000, 0.5000, 0.0000], [0.5000, 0.5000, 0.5000]],
  "mass_density_g_cm3": 9.01,
  "total_magnetization_mub_per_cell": 0.0,
  "dft_energy_ev_per_cell": -79.7
}

---

{
  "formula": "V4TcRu2",
  "functional": "GGA-PBE",
  "state": "optimized geometry",
  "cell": [[4.4553, 0.0000, 0.0000], [0.0000, 4.4553, 0.0000], [0.0000, 0.0000, 12.3060]],
  "species": ["V", "V", "V", "V", "V", "V", "V", "V", "Tc", "Tc", "Ru", "Ru", "Ru", "Ru"],
  "fractional_positions": [[0.0000, 0.0000, 0.1987], [0.0000, 0.0000, 0.8013], [0.0000, 0.5000, 0.0000], [0.0000, 0.5000, 0.5000], [0.5000, 0.0000, 0.0000], [0.5000, 0.0000, 0.5000], [0.5000, 0.5000, 0.3013], [0.5000, 0.5000, 0.6987], [0.0000, 0.0000, 0.0000], [0.5000, 0.5000, 0.5000], [0.0000, 0.0000, 0.3824], [0.0000, 0.0000, 0.6176], [0.5000, 0.5000, 0.1176], [0.5000, 0.5000, 0.8824]],
  "mass_density_g_cm3": 6.85,
  "total_magnetization_mub_per_cell": 7.7,
  "dft_energy_ev_per_cell": -117.9
}

---

{
  "formula": "V4TcRu",
  "functional": "GGA-PBE",
  "state": "optimized geometry",
  "cell": [[7.1713, 0.0000, 0.0000], [0.0000, 4.1232, 0.0000], [-2.3607, 0.0000, 6.6334]],
  "species": ["V", "V", "V", "V", "V", "V", "V", "V", "Tc", "Tc", "Ru", "Ru"],
  "fractional_positions": [[0.1262, 0.0000, 0.3772], [0.1266, 0.5000, 0.8777], [0.3734, 0.0000, 0.1223], [0.3738, 0.5000, 0.6228], [0.6262, 0.5000, 0.3772], [0.6266, 0.0000, 0.8777], [0.8734, 0.5000, 0.1223], [0.8738, 0.0000, 0.6228], [0.0000, 0.5000, 0.5000], [0.5000, 0.0000, 0.5000], [0.0000, 0.0000, 0.0000], [0.5000, 0.5000, 0.0000]],
  "mass_density_g_cm3": 6.82,
  "polymorph_energy_mev_per_atom": 365.4,
  "total_magnetization_mub_per_cell": 0.0,
  "dft_energy_ev_per_cell": -107.4
}

---

Number 1: calculated formation energy -130 meV/atom. Number 2: calculated formation energy 424 meV/atom. Number 3: calculated formation energy -28 meV/atom. Number 4: calculated formation energy 302 meV/atom. Number 5: calculated formation energy -3 meV/atom. Number 6: calculated formation energy -81 meV/atom. Number 7: calculated formation energy 45 meV/atom. Number 8: calculated formation energy 1251 meV/atom. Number 9: calculated formation energy -360 meV/atom. Number 10: calculated formation energy -353 meV/atom. Number 11: calculated formation energy 920 meV/atom. Number 12: calculated formation energy 402 meV/atom.